! PuTa2Mo (PBE-GGA, optimized geometry); values from VASP
&SYSTEM
  ibrav = 0, nat = 4, ntyp = 3
/
ATOMIC_SPECIES
Mo 95.94 Mo.upf
Ta 180.95 Ta.upf
Pu 244.00 Pu.upf
CELL_PARAMETERS angstrom
-1.732 -2.093 1.711
0.373 -2.198 -2.311
6.187 -2.421 3.302
ATOMIC_POSITIONS angstrom
Mo -0.680 -2.146 -0.300
Ta 1.320 -0.517 0.705
Ta 4.867 -1.904 2.597
Pu 2.414 -3.356 1.351
! formation enthalpy at 0 K: 134 meV/atom
! final energy: -48.3 eV/cell